1.
First-principles (GGA-PBEsol) data for an optimized crystal structure of MgTlAsH12O10, as listed in Alexandria via LeMat-Bulk.

```
MgTlAsH12O10
1.0
6.1545 0.0000 0.0000
0.0000 6.9652 0.0000
0.0000 0.0000 11.2758
O H As Tl Mg
20 24 2 2 2
Direct
0.4648 0.7025 0.9939 O
0.2735 0.2738 0.2306 O
0.2503 0.0000 0.9244 O
0.8656 0.7970 0.9484 O
0.7497 0.5000 0.4244 O
0.0459 0.5000 0.0489 O
0.0335 0.0000 0.1428 O
0.1344 0.7030 0.4484 O
0.9665 0.5000 0.6428 O
0.5352 0.2025 0.4939 O
0.7265 0.2262 0.7306 O
0.9541 0.0000 0.5489 O
0.7265 0.7738 0.7306 O
0.6822 0.5000 0.1933 O
0.1344 0.2970 0.4484 O
0.8656 0.2030 0.9484 O
0.2735 0.7262 0.2306 O
0.4648 0.2975 0.9939 O
0.3178 0.0000 0.6933 O
0.5352 0.7975 0.4939 O
0.3776 0.7577 0.4861 H
0.3776 0.2423 0.4861 H
0.3779 0.8210 0.9690 H
0.9861 0.3834 0.0051 H
0.6221 0.3210 0.4690 H
0.0139 0.1166 0.5051 H
0.2125 0.7073 0.3135 H
0.6224 0.7423 0.9861 H
0.7175 0.5000 0.2807 H
0.3779 0.1790 0.9690 H
0.8254 0.3266 0.6924 H
0.8228 0.5000 0.1490 H
0.1772 0.0000 0.6490 H
0.1746 0.1734 0.1924 H
0.8254 0.6734 0.6924 H
0.1746 0.8266 0.1924 H
0.2125 0.2927 0.3135 H
0.7875 0.7927 0.8135 H
0.9861 0.6166 0.0051 H
0.6221 0.6790 0.4690 H
0.0139 0.8834 0.5051 H
0.7875 0.2073 0.8135 H
0.6224 0.2577 0.9861 H
0.2825 0.0000 0.7807 H
0.9998 0.5000 0.4928 As
0.0002 0.0000 0.9928 As
0.3909 0.5000 0.7785 Tl
0.6091 0.0000 0.2785 Tl
0.3706 0.5000 0.1203 Mg
0.6294 0.0000 0.6203 Mg
```

Computed properties:
As for the uncorrected energy: -5.31 eV per atom. The calculation puts the total moment at 0.00 μB/f.u.



2.
First-principles (GGA-PBEsol) data for an optimized crystal structure of Mn3AsH, as listed in Alexandria via LeMat-Bulk.

```
Mn3AsH
1.0
3.6425 0.0000 0.0000
0.0000 3.6425 0.0000
0.0000 0.0000 3.6425
Mn H As
3 1 1
Direct
0.0000 0.5000 0.0000 Mn
0.5000 0.0000 0.0000 Mn
0.0000 0.0000 0.5000 Mn
0.0000 0.0000 0.0000 H
0.5000 0.5000 0.5000 As
```

Computed properties:
As for the uncorrected energy: -7.62 eV per atom. The calculation puts the total moment at 5.30 μB/f.u.



3.
First-principles (GGA-PBEsol) data for an optimized crystal structure of NaMn2AsH, as listed in Alexandria via LeMat-Bulk.

```
NaMn2AsH
1.0
-2.2307 1.5165 2.0621
0.2928 -3.7791 3.0959
3.6780 2.2118 2.3521
As Na Mn H
1 1 2 1
Direct
0.5000 0.5000 0.5000 As
0.0000 0.0000 0.0000 Na
0.0000 0.5000 0.0000 Mn
0.0000 0.0000 0.5000 Mn
0.5000 0.0000 0.0000 H
```

Computed properties:
As for the uncorrected energy: -4.60 eV per atom. The calculation puts the total moment at 8.47 μB/f.u.